# Ga2HgSb PBE relaxed
# Energy above the lowest structure with this stoichiometry   0.046 eV/f.u.
# ΔE_f (raw)   1.7 kcal/mol of atoms
# Spin magnetization   0.0 μB per cell
data_Ga2HgSb
_cell_length_a 3.3934
_cell_length_b 3.3934
_cell_length_c 8.1186
_cell_angle_alpha 90.00
_cell_angle_beta 90.00
_cell_angle_gamma 90.00
_space_group_name_H-M_alt 'P 1'
_space_group_IT_number 1
loop_
_space_group_symop_operation_xyz
'x,y,z'
loop_
_atom_site_label
_atom_site_type_symbol
_atom_site_fract_x
_atom_site_fract_y
_atom_site_fract_z
_atom_site_occupancy
Ga1 Ga 0.0000 0.0000 0.2434 1
Ga2 Ga 0.0000 0.0000 0.7566 1
Hg1 Hg 0.5000 0.5000 0.0000 1
Sb1 Sb 0.5000 0.5000 0.5000 1